DFT (PBE) results for a geometry-optimized CaPrTlPb structure.

```
data_CaPrTlPb
_symmetry_space_group_name_H-M 'P 1'
_symmetry_Int_Tables_number 1
_symmetry_space_group_name_Hall 'P 1'
_cell_length_a 4.506
_cell_length_b 5.154
_cell_length_c 5.215
_cell_angle_alpha 90.00
_cell_angle_beta 90.00
_cell_angle_gamma 90.00
loop_
_atom_site_label
_atom_site_fract_x
_atom_site_fract_y
_atom_site_fract_z
Ca1 0.000 0.000 0.000
Pr1 0.000 0.500 0.500
Tl1 0.500 0.500 0.000
Pb1 0.500 0.000 0.500
```

Properties
- energy of formation (eV per atom) = -0.47
- density (g/cm3) = 8.124
- magnetic moment (μB/atom) = 0.00
- total DFT energy (no corrections) (eV per atom) = -3.6877
- calculated volume (Å³ per cell) = 121.13
- distance to the lowest polymorph of the same formula (kJ/mol of atoms) = 0.0
- DOS at the Fermi energy (states/eV/atom) = 0.563

***

DFT (PBE) results for a geometry-optimized Pm3Nd3Zn2Hg structure.

```
data_Pm3Nd3Zn2Hg
_symmetry_space_group_name_H-M 'P 1'
_symmetry_Int_Tables_number 1
_symmetry_space_group_name_Hall 'P 1'
_cell_length_a 3.702
_cell_length_b 8.954
_cell_length_c 8.954
_cell_angle_alpha 120.00
_cell_angle_beta 90.00
_cell_angle_gamma 90.00
loop_
_atom_site_label
_atom_site_fract_x
_atom_site_fract_y
_atom_site_fract_z
Pm1 0.500 0.714 0.000
Pm2 0.500 0.000 0.714
Pm3 0.500 0.286 0.286
Nd1 0.000 0.612 0.612
Nd2 0.000 0.000 0.388
Nd3 0.000 0.388 0.000
Zn1 0.500 0.667 0.333
Zn2 0.500 0.333 0.667
Hg1 0.000 0.000 0.000
```

Properties
- energy of formation (eV per atom) = -0.17
- density (g/cm3) = 7.746
- magnetic moment (μB/atom) = 0.00
- total DFT energy (no corrections) (eV per atom) = -3.6581
- calculated volume (Å³ per cell) = 257.05
- DOS at the Fermi energy (states/eV/atom) = 1.424